The following is a DFT calculation (PBE) of a relaxed structure of LiLaHg2. Values from VASP.

Quantum ESPRESSO input file:
```
&SYSTEM
  ibrav = 0, nat = 8, ntyp = 3
/
ATOMIC_SPECIES
Hg 200.59 Hg.upf
Li 6.94 Li.upf
La 138.91 La.upf
ATOMIC_POSITIONS crystal
Hg 0.3333 0.6667 0.9180
Hg 0.6667 0.3333 0.0820
Hg 0.3333 0.6667 0.5820
Hg 0.6667 0.3333 0.4180
Li 0.6667 0.3333 0.7500
Li 0.3333 0.6667 0.2500
La 0.0000 0.0000 0.5000
La 0.0000 0.0000 0.0000
CELL_PARAMETERS angstrom
2.6925 -4.6635 0.0000
2.6925 4.6635 0.0000
0.0000 0.0000 8.4572
```

The following is a DFT calculation (PBE) of a relaxed structure of LiLaHgO3. Values from VASP.

Quantum ESPRESSO input file:
```
&SYSTEM
  ibrav = 0, nat = 12, ntyp = 4
/
ATOMIC_SPECIES
La 138.91 La.upf
O 16.00 O.upf
Hg 200.59 Hg.upf
Li 6.94 Li.upf
ATOMIC_POSITIONS crystal
La 0.0000 0.0000 0.5000
La 0.0000 0.0000 0.0000
O 0.3659 0.3659 0.5934
O 0.3659 0.3659 0.9066
O 0.6341 0.6341 0.0934
O 0.6341 0.6341 0.4066
O 0.0765 0.0765 0.7500
O 0.9235 0.9235 0.2500
Hg 0.2476 0.2476 0.2500
Hg 0.7524 0.7524 0.7500
Li 0.5243 0.5243 0.2500
Li 0.4757 0.4757 0.7500
CELL_PARAMETERS angstrom
-4.9391 -0.8247 -1.2271
-3.1004 -3.7979 -1.5950
-1.9044 -2.3190 9.2241
```

| no. | total DFT energy (no corrections) (eV per cell) |
| --- | --- |
| 1 | -17.35 |
| 2 | -65.53 |